[1]
Computed, not measured: an optimized crystal structure of Rb2Ac2ZrS6 at the PBE level of DFT. Values from VASP.

Values from the calculation:
E_form (uncorrected) = -1.765 eV per atom
Volume = 33.16 Å³ per atom

Cell and atoms, written as Quantum ESPRESSO input:
```
&SYSTEM
  ibrav = 0, nat = 11, ntyp = 4
/
ATOMIC_SPECIES
S 32.06 S.upf
Rb 85.47 Rb.upf
Zr 91.22 Zr.upf
Ac 227.00 Ac.upf
CELL_PARAMETERS angstrom
7.2861 0.0407 0.0889
-3.5658 6.3540 0.0889
-1.3046 -2.2424 7.7916
ATOMIC_POSITIONS crystal
S 0.2288 0.2288 0.3108
S 0.6390 0.9397 0.3114
S 0.0603 0.3610 0.6886
S 0.9397 0.6390 0.3114
S 0.7712 0.7712 0.6892
S 0.3610 0.0603 0.6886
Rb 0.1678 0.8322 0.0000
Rb 0.8322 0.1678 0.0000
Zr 0.0000 0.0000 0.5000
Ac 0.3346 0.6654 0.5000
Ac 0.6654 0.3346 0.5000
```

---

[2]
Computed, not measured: an optimized crystal structure of Tm3U5As8 at the PBE level of DFT. Values from VASP.

Values from the calculation:
ΔE_f = -1.019 eV per atom
Volume = 23.94 Å³ per atom

Cell and atoms, written as Quantum ESPRESSO input:
```
&SYSTEM
  ibrav = 0, nat = 16, ntyp = 3
/
ATOMIC_SPECIES
U 238.03 U.upf
Tm 168.93 Tm.upf
As 74.92 As.upf
CELL_PARAMETERS angstrom
-7.0889 -3.9049 0.6340
-2.3243 -5.1634 -5.8171
-0.0810 -8.0462 1.5099
ATOMIC_POSITIONS crystal
U 0.5000 0.5000 0.0000
U 0.5000 0.0000 0.0000
U 0.5000 0.5000 0.5000
U 0.0000 0.0000 0.0000
U 0.0000 0.5000 0.0000
Tm 0.5000 0.0000 0.5000
Tm 0.0000 0.0000 0.5000
Tm 0.0000 0.5000 0.5000
As 0.7499 0.2477 0.2526
As 0.2477 0.7499 0.2526
As 0.2501 0.2501 0.7474
As 0.2494 0.2494 0.2518
As 0.7506 0.7506 0.7482
As 0.7499 0.7499 0.2526
As 0.7523 0.2501 0.7474
As 0.2501 0.7523 0.7474
```

---

[3]
Computed, not measured: an optimized crystal structure of NaSr3Zn8 at the PBE level of DFT. Values from VASP.

Values from the calculation:
ΔE_f = -0.141 eV per atom
Volume = 22.22 Å³ per atom

Cell and atoms, written as Quantum ESPRESSO input:
```
&SYSTEM
  ibrav = 0, nat = 12, ntyp = 3
/
ATOMIC_SPECIES
Zn 65.41 Zn.upf
Sr 87.62 Sr.upf
Na 22.99 Na.upf
CELL_PARAMETERS angstrom
-4.9614 -2.7765 0.1827
-1.8115 -2.2681 4.8920
-6.7298 6.4489 3.8050
ATOMIC_POSITIONS crystal
Zn 0.6837 0.6837 0.9488
Zn 0.9392 0.4357 0.1894
Zn 0.4385 0.9384 0.6847
Zn 0.4357 0.9392 0.1894
Zn 0.1910 0.1910 0.4271
Zn 0.9384 0.4385 0.6847
Zn 0.9384 0.9384 0.6847
Zn 0.4357 0.4357 0.1894
Sr 0.5036 0.5036 0.4892
Sr 0.3772 0.3772 0.8685
Sr 0.9951 0.9951 0.0148
Na 0.8735 0.8735 0.3795
```

---

[4]
Computed, not measured: an optimized crystal structure of Zr3TeW at the PBE level of DFT. Values from VASP.

Values from the calculation:
E_form (uncorrected) = 1.288 eV per atom
Energy relative to the lowest polymorph listed for this composition = 0.676 eV/atom
Volume = 27.20 Å³ per atom

Cell and atoms, written as Quantum ESPRESSO input:
```
&SYSTEM
  ibrav = 0, nat = 5, ntyp = 3
/
ATOMIC_SPECIES
Zr 91.22 Zr.upf
W 183.84 W.upf
Te 127.60 Te.upf
CELL_PARAMETERS angstrom
-4.0080 3.1476 -0.6888
-3.1666 -4.0511 -0.0866
-0.5956 0.3566 5.0955
ATOMIC_POSITIONS crystal
Zr 0.0000 0.0000 0.5000
Zr 0.0000 0.5000 0.0000
Zr 0.5000 0.0000 0.0000
W 0.5000 0.5000 0.5000
Te 0.0000 0.0000 0.0000
```

---

[5]
Computed, not measured: an optimized crystal structure of Nb3Mo2S8 at the PBE level of DFT. Values from VASP.

Values from the calculation:
E_form (uncorrected) = -0.695 eV per atom
Volume = 18.42 Å³ per atom

Cell and atoms, written as Quantum ESPRESSO input:
```
&SYSTEM
  ibrav = 0, nat = 13, ntyp = 3
/
ATOMIC_SPECIES
S 32.06 S.upf
Nb 92.91 Nb.upf
Mo 95.94 Mo.upf
CELL_PARAMETERS angstrom
-4.7957 2.6680 -2.4092
-3.7178 -5.6795 1.1112
1.8752 4.0032 5.4457
ATOMIC_POSITIONS crystal
S 0.0947 0.8816 0.7632
S 0.9053 0.1184 0.2368
S 0.8903 0.6241 0.2482
S 0.4219 0.3925 0.2573
S 0.4219 0.8648 0.2573
S 0.5781 0.1352 0.7427
S 0.1097 0.3759 0.7518
S 0.5781 0.6075 0.7427
Nb 0.0000 0.7283 0.0000
Nb 0.0000 0.2717 0.0000
Nb 0.5000 0.0000 0.0000
Mo 0.3035 0.2243 0.4486
Mo 0.6965 0.7757 0.5514
```

---

[6]
Computed, not measured: an optimized crystal structure of Th4TlOs2 at the PBE level of DFT. Values from VASP.

Values from the calculation:
ΔE_f = -0.246 eV per atom
Volume = 27.09 Å³ per atom

Cell and atoms, written as Quantum ESPRESSO input:
```
&SYSTEM
  ibrav = 0, nat = 14, ntyp = 3
/
ATOMIC_SPECIES
Th 232.04 Th.upf
Os 190.23 Os.upf
Tl 204.38 Tl.upf
CELL_PARAMETERS angstrom
8.5961 -2.0544 -0.2232
-2.6672 8.4273 0.1644
-2.8846 -3.3096 5.6904
ATOMIC_POSITIONS crystal
Th 0.0387 0.2544 0.4411
Th 0.5043 0.7887 0.9413
Th 0.3382 0.0245 0.2282
Th 0.7691 0.1733 0.7667
Th 0.4235 0.5192 0.2670
Th 0.8685 0.5612 0.5881
Th 0.2744 0.0883 0.7282
Th 0.8112 0.6183 0.0880
Os 0.8136 0.8851 0.4386
Os 0.4752 0.4016 0.6247
Os 0.6515 0.2252 0.1247
Os 0.1351 0.5635 0.9387
Tl 0.2128 0.6844 0.4125
Tl 0.9339 0.9624 0.9122
```

---

[7]
Computed, not measured: an optimized crystal structure of SrZn2Ag6 at the PBE level of DFT. Values from VASP.

Values from the calculation:
Energy relative to the lowest polymorph listed for this composition = 0.000 eV/atom
ΔE_f = -0.094 eV per atom
Volume = 20.00 Å³ per atom

Cell and atoms, written as Quantum ESPRESSO input:
```
&SYSTEM
  ibrav = 0, nat = 9, ntyp = 3
/
ATOMIC_SPECIES
Ag 107.87 Ag.upf
Zn 65.41 Zn.upf
Sr 87.62 Sr.upf
CELL_PARAMETERS angstrom
-2.1790 -2.7710 -2.4423
3.2858 -0.1589 -2.7513
3.8515 -7.4627 5.0306
ATOMIC_POSITIONS crystal
Ag 0.5000 0.5000 0.5000
Ag 0.5000 0.0000 0.7052
Ag 0.5000 0.0000 0.2948
Ag 0.0000 0.5000 0.2948
Ag 0.0000 0.5000 0.7052
Ag 0.0000 0.0000 0.5000
Zn 0.5000 0.5000 0.1307
Zn 0.5000 0.5000 0.8693
Sr 0.0000 0.0000 0.0000
```

---

[8]
Computed, not measured: an optimized crystal structure of HfHSe at the PBE level of DFT. Values from VASP.

Values from the calculation:
VASP energy = -39.269 eV per cell
Volume = 17.12 Å³ per atom

Cell and atoms, written as Quantum ESPRESSO input:
```
&SYSTEM
  ibrav = 0, nat = 6, ntyp = 3
/
ATOMIC_SPECIES
Se 78.96 Se.upf
Hf 178.49 Hf.upf
H 1.01 H.upf
CELL_PARAMETERS angstrom
3.4909 0.0000 0.7513
1.6646 3.0685 0.7513
-0.2234 -0.1330 9.5241
ATOMIC_POSITIONS crystal
Se 0.3945 0.3945 0.8164
Se 0.6055 0.6055 0.1836
Hf 0.1202 0.1202 0.6393
Hf 0.8798 0.8798 0.3607
H 0.8077 0.8077 0.5769
H 0.1923 0.1923 0.4231
```

---

[9]
Computed, not measured: an optimized crystal structure of NpSnRh4 at the PBE level of DFT. Values from VASP.

Values from the calculation:
Energy relative to the lowest polymorph listed for this composition = 0.000 eV/atom
ΔE_f = -0.316 eV per atom
Volume = 16.86 Å³ per atom

Cell and atoms, written as Quantum ESPRESSO input:
```
&SYSTEM
  ibrav = 0, nat = 6, ntyp = 3
/
ATOMIC_SPECIES
Rh 102.91 Rh.upf
Sn 118.71 Sn.upf
Np 237.00 Np.upf
CELL_PARAMETERS angstrom
3.5967 0.0000 1.0403
1.9585 4.7202 -0.0336
0.1606 -1.3936 6.1824
ATOMIC_POSITIONS crystal
Rh 0.1667 0.4845 0.1821
Rh 0.8333 0.5155 0.8179
Rh 0.6357 0.0418 0.6868
Rh 0.3643 0.9582 0.3132
Sn 0.0000 0.0000 0.0000
Np 0.5000 0.5000 0.5000
```

---

[10]
Computed, not measured: an optimized crystal structure of Sr2Sn4Pd3Pb at the PBE level of DFT. Values from VASP.

Values from the calculation:
ΔE_f = -0.571 eV per atom
Volume = 25.58 Å³ per atom

Cell and atoms, written as Quantum ESPRESSO input:
```
&SYSTEM
  ibrav = 0, nat = 10, ntyp = 4
/
ATOMIC_SPECIES
Sr 87.62 Sr.upf
Sn 118.71 Sn.upf
Pd 106.42 Pd.upf
Pb 207.20 Pb.upf
CELL_PARAMETERS angstrom
4.6866 0.0000 0.0000
0.0000 4.6866 0.0000
0.0000 0.0000 11.6482
ATOMIC_POSITIONS crystal
Sr 0.0000 0.5000 0.7595
Sr 0.5000 0.0000 0.2405
Sn 0.0000 0.5000 0.3473
Sn 0.5000 0.5000 0.0000
Sn 0.0000 0.0000 0.0000
Sn 0.5000 0.0000 0.6527
Pd 0.0000 0.5000 0.1211
Pd 0.0000 0.0000 0.5000
Pd 0.5000 0.0000 0.8789
Pb 0.5000 0.5000 0.5000
```

---

[11]
Computed, not measured: an optimized crystal structure of Cs12Cd at the PBE level of DFT. Values from VASP.

Values from the calculation:
ΔE_f = 0.033 eV per atom
Volume = 105.08 Å³ per atom

Cell and atoms, written as Quantum ESPRESSO input:
```
&SYSTEM
  ibrav = 0, nat = 13, ntyp = 2
/
ATOMIC_SPECIES
Cs 132.91 Cs.upf
Cd 112.41 Cd.upf
CELL_PARAMETERS angstrom
-0.5912 9.5469 -7.4219
8.8788 -7.3882 -3.6277
-10.5435 -5.9466 -0.2262
ATOMIC_POSITIONS crystal
Cs 0.6963 0.8708 0.1746
Cs 0.3037 0.1292 0.8254
Cs 0.3037 0.4783 0.1746
Cs 0.5217 0.8254 0.6963
Cs 0.1746 0.6963 0.8708
Cs 0.8708 0.1746 0.6963
Cs 0.8254 0.3037 0.1292
Cs 0.1746 0.3037 0.4783
Cs 0.4783 0.1746 0.3037
Cs 0.8254 0.6963 0.5217
Cs 0.6963 0.5217 0.8254
Cs 0.1292 0.8254 0.3037
Cd 0.0000 0.0000 0.0000
```